Entry 1:
BaNbAs3: optimized geometry, PBE.

Computed properties:
formation energy from the elements = -528 meV/atom
M_tot = 0.0 μB/f.u.

Cell: 5.109 5.109 5.109 Å, 90.00 90.00 90.00°
Sites, in units of the cell vectors:
1 As 0.000 0.500 0.000
2 As 0.000 0.000 0.500
3 As 0.500 0.000 0.000
4 Nb 0.000 0.000 0.000
5 Ba 0.500 0.500 0.500

Entry 2:
KSnBiSe3: optimized geometry, PBE.

Computed properties:
energy relative to the elements, uncorrected = -0.66 eV per atom
M_tot = 0.0 μB/f.u.

Cell: 4.224 8.073 13.332 Å, 115.77 90.00 90.00°
Sites, in units of the cell vectors:
1 K 0.750 0.872 0.824
2 K 0.250 0.128 0.176
3 Sn 0.250 0.179 0.564
4 Sn 0.750 0.821 0.436
5 Bi 0.250 0.602 0.147
6 Bi 0.750 0.398 0.853
7 Se 0.250 0.571 0.361
8 Se 0.750 0.886 0.251
9 Se 0.750 0.316 0.051
10 Se 0.750 0.429 0.639
11 Se 0.250 0.684 0.949
12 Se 0.250 0.114 0.749

Entry 3:
Na3CdAg2: optimized geometry, PBE.

Computed properties:
formation energy from the elements = -39 meV/atom
M_tot = 0.0 μB/f.u.

Cell: 5.042 5.042 11.261 Å, 103.00 102.94 89.86°
Sites, in units of the cell vectors:
1 Na 0.625 0.875 0.250
2 Na 0.375 0.125 0.750
3 Na 0.039 0.790 0.079
4 Na 0.711 0.460 0.421
5 Na 0.289 0.540 0.579
6 Na 0.961 0.210 0.921
7 Cd 0.875 0.625 0.750
8 Cd 0.125 0.375 0.250
9 Ag 0.792 0.041 0.583
10 Ag 0.542 0.291 0.083
11 Ag 0.458 0.709 0.917
12 Ag 0.208 0.959 0.417

Entry 4:
YTaOs2: optimized geometry, PBE.

Computed properties:
formation energy from the elements = 209 meV/atom
M_tot = 0.0 μB/f.u.

Cell: 8.809 8.809 8.809 Å, 20.56 20.56 20.56°
Sites, in units of the cell vectors:
1 Os 0.992 0.992 0.992
2 Os 0.508 0.508 0.508
3 Ta 0.250 0.250 0.250
4 Y 0.750 0.750 0.750

Entry 5:
OsPbO5: optimized geometry, PBE.

Computed properties:
energy relative to the elements, uncorrected = -0.91 eV per atom
M_tot = 0.0 μB/f.u.

Cell: 5.638 5.638 7.527 Å, 70.55 70.55 70.97°
Sites, in units of the cell vectors:
1 Os 0.000 0.000 0.000
2 Os 0.000 0.000 0.500
3 Pb 0.547 0.453 0.250
4 Pb 0.453 0.547 0.750
5 O 0.784 0.787 0.107
6 O 0.293 0.709 0.463
7 O 0.787 0.784 0.607
8 O 0.923 0.077 0.250
9 O 0.291 0.707 0.037
10 O 0.709 0.293 0.963
11 O 0.077 0.923 0.750
12 O 0.213 0.216 0.393
13 O 0.707 0.291 0.537
14 O 0.216 0.213 0.893

Entry 6:
Sc4In2Si: optimized geometry, PBE.

Computed properties:
energy relative to the elements, uncorrected = -0.23 eV per atom
M_tot = 0.0 μB/f.u.

Cell: 4.965 4.965 8.054 Å, 72.05 72.05 90.00°
Sites, in units of the cell vectors:
1 Sc 0.178 0.178 0.645
2 Sc 0.822 0.822 0.355
3 Sc 0.000 0.500 0.000
4 Sc 0.500 0.000 0.000
5 Si 0.000 0.000 0.000
6 In 0.377 0.377 0.245
7 In 0.623 0.623 0.755

Entry 7:
Pd2Pb2Se: optimized geometry, PBE.

Computed properties:
energy relative to the elements, uncorrected = -0.02 eV per atom
M_tot = 0.0 μB/f.u.

Cell: 8.455 8.455 3.150 Å, 90.00 90.00 90.00°
Sites, in units of the cell vectors:
1 Pb 0.321 0.821 0.000
2 Pb 0.821 0.679 0.000
3 Pb 0.679 0.179 0.000
4 Pb 0.179 0.321 0.000
5 Se 0.000 0.000 0.000
6 Se 0.500 0.500 0.000
7 Pd 0.116 0.616 0.500
8 Pd 0.616 0.884 0.500
9 Pd 0.884 0.384 0.500
10 Pd 0.384 0.116 0.500

Entry 8:
SbSI: optimized geometry, PBE.

Computed properties:
energy relative to the elements, uncorrected = -0.19 eV per atom
M_tot = 0.0 μB/f.u.

Cell: 3.817 6.133 18.559 Å, 90.00 90.00 90.00°
Sites, in units of the cell vectors:
1 I 0.750 0.254 0.181
2 I 0.250 0.746 0.819
3 I 0.250 0.754 0.319
4 I 0.750 0.246 0.681
5 Sb 0.250 0.258 0.349
6 Sb 0.750 0.758 0.151
7 Sb 0.750 0.742 0.651
8 Sb 0.250 0.242 0.849
9 S 0.250 0.759 0.063
10 S 0.750 0.241 0.937
11 S 0.250 0.741 0.563
12 S 0.750 0.259 0.437

Entry 9:
Li3Sc: optimized geometry, PBE.

Computed properties:
formation energy from the elements = 240 meV/atom
M_tot = 0.2 μB/f.u.

Cell: 4.879 4.879 4.879 Å, 60.00 60.00 60.00°
Last column: magnetic moment on the atom in μB.
Sites, in units of the cell vectors:
1 Li 0.000 0.000 0.000  0.01
2 Li 0.750 0.750 0.750  0.00
3 Li 0.500 0.500 0.500  0.01
4 Sc 0.250 0.250 0.250  0.11

Entry 10:
LiTmGaOs: optimized geometry, PBE.

Computed properties:
formation energy from the elements = -214 meV/atom
M_tot = 0.0 μB/f.u.

Cell: 4.578 4.578 4.578 Å, 60.00 60.00 60.00°
Sites, in units of the cell vectors:
1 Tm 0.750 0.750 0.750
2 Os 0.000 0.000 0.000
3 Ga 0.250 0.250 0.250
4 Li 0.500 0.500 0.500

Entry 11:
LaCe2Pm: optimized geometry, PBE.

Computed properties:
formation energy from the elements = 464 meV/atom
M_tot = 1.0 μB/f.u.

Cell: 4.158 4.158 8.933 Å, 76.54 76.54 60.00°
Last column: magnetic moment on the atom in μB.
Sites, in units of the cell vectors:
1 La 0.671 0.671 0.987  0.09
2 Ce 0.064 0.064 0.808  0.17
3 Ce 0.267 0.267 0.200  0.55
4 Pm 0.499 0.499 0.504  0.03

Entry 12:
RhPb4W: optimized geometry, PBE.

Computed properties:
formation energy from the elements = 1388 meV/atom
M_tot = 4.2 μB/f.u.

Cell: 6.163 6.163 6.163 Å, 60.00 60.00 60.00°
Last column: magnetic moment on the atom in μB.
Sites, in units of the cell vectors:
1 Rh 0.750 0.750 0.750  0.53
2 Pb 0.875 0.375 0.375  -0.01
3 Pb 0.375 0.375 0.875  -0.01
4 Pb 0.375 0.875 0.375  -0.01
5 Pb 0.375 0.375 0.375  -0.01
6 W 0.000 0.000 0.000  2.82

Entry 13:
ZnCdO2: optimized geometry, PBE.

Computed properties:
energy relative to the elements, uncorrected = -0.76 eV per atom
M_tot = 0.0 μB/f.u.

Cell: 7.440 7.440 5.057 Å, 90.00 90.00 155.19°
Sites, in units of the cell vectors:
1 Zn 0.328 0.672 0.250
2 Zn 0.672 0.328 0.750
3 O 0.202 0.798 0.250
4 O 0.798 0.202 0.750
5 O 0.917 0.083 0.250
6 O 0.083 0.917 0.750
7 Cd 0.064 0.936 0.250
8 Cd 0.936 0.064 0.750

Entry 14:
Pm4NpPa3N8: optimized geometry, PBE.

Computed properties:
energy relative to the elements, uncorrected = -1.52 eV per atom
M_tot = 3.3 μB/f.u.

Cell: 7.094 7.105 7.093 Å, 119.94 120.00 90.00°
Last column: magnetic moment on the atom in μB.
Sites, in units of the cell vectors:
1 Pm 0.500 0.000 0.000  0.01
2 Pm 0.500 0.000 0.500  0.00
3 Pm 0.000 0.000 0.000  0.00
4 Pm 0.000 0.000 0.500  0.00
5 Np 0.000 0.500 0.000  3.16
6 Pa 0.500 0.500 0.000  0.05
7 Pa 0.500 0.500 0.500  0.05
8 Pa 0.000 0.500 0.500  0.05
9 N 0.242 0.719 0.977  -0.03
10 N 0.242 0.719 0.483  -0.03
11 N 0.261 0.282 0.521  0.01
12 N 0.736 0.719 0.977  -0.03
13 N 0.264 0.281 0.023  -0.03
14 N 0.739 0.718 0.479  0.01
15 N 0.758 0.281 0.517  -0.03
16 N 0.758 0.281 0.023  -0.03

Entry 15:
NaAc2RhO4: optimized geometry, PBE.

Computed properties:
energy relative to the elements, uncorrected = -2.26 eV per atom
M_tot = 0.0 μB/f.u.

Cell: 5.455 5.455 5.455 Å, 101.47 113.61 113.61°
Sites, in units of the cell vectors:
1 Na 0.000 0.000 0.000
2 Ac 0.500 0.750 0.250
3 Ac 0.500 0.250 0.750
4 Rh 0.000 0.500 0.500
5 O 0.000 0.255 0.745
6 O 0.510 0.255 0.255
7 O 0.490 0.745 0.745
8 O 0.000 0.745 0.255

Entry 16:
CaMgC: optimized geometry, PBE.

Computed properties:
formation energy from the elements = 89 meV/atom
M_tot = 0.0 μB/f.u.

Cell: 5.470 3.317 13.529 Å, 90.00 90.00 90.00°
Sites, in units of the cell vectors:
1 C 0.379 0.000 0.111
2 C 0.621 0.000 0.111
3 C 0.379 0.500 0.611
4 C 0.621 0.500 0.611
5 Ca 0.500 0.000 0.760
6 Ca 0.500 0.500 0.260
7 Ca 0.000 0.000 0.615
8 Ca 0.000 0.500 0.115
9 Mg 0.000 0.000 0.359
10 Mg 0.000 0.500 0.859
11 Mg 0.500 0.000 0.487
12 Mg 0.500 0.500 0.987

Entry 17:
ErPaN2O: optimized geometry, PBE.

Computed properties:
energy relative to the elements, uncorrected = -2.09 eV per atom
M_tot = 0.0 μB/f.u.

Cell: 3.333 5.804 7.482 Å, 90.00 90.00 106.68°
Sites, in units of the cell vectors:
1 Er 0.000 0.000 0.500
2 Er 0.000 0.000 0.000
3 Pa 0.251 0.502 0.750
4 Pa 0.749 0.498 0.250
5 N 0.648 0.296 0.569
6 N 0.352 0.704 0.431
7 N 0.352 0.704 0.069
8 N 0.648 0.296 0.931
9 O 0.893 0.787 0.750
10 O 0.107 0.213 0.250